Here is an optimized crystal structure of TaPbW2 from Alexandria. Energies are from GGA-PBE.

abc: 5.4287 5.4287 4.6432
angles: 64.90 64.90 36.66
Closest atoms and distances in Å follow each position.
Sites, in units of the cell vectors:
Pb  0.2500  0.2500  0.2500  4 Ta 2.88, 8 W 2.95-3.20
Ta  0.7500  0.7500  0.7500  4 W 2.79, 4 Pb 2.88
W  0.0113  0.0113  0.9886  2 Ta 2.79, 4 W 2.89, 2 Pb 2.95
W  0.4887  0.4887  0.5114  2 Ta 2.79, 4 W 2.89, 2 Pb 2.95

***

Here is an optimized crystal structure of TaPb2W from Alexandria. Energies are from GGA-PBE.

Calculated values
**Polymorph energy (0 for the lowest one)**: 638 meV per atom

abc: 3.4424 4.8781 4.8781
angles: 90.00 90.00 90.00
Closest atoms and distances in Å follow each position.
Sites, in units of the cell vectors:
Pb  0.0000  0.0000  0.0000  4 Ta 2.99, 4 W 2.99
Pb  0.0000  0.5000  0.5000  4 Ta 2.99, 4 W 2.99
Ta  0.5000  0.5000  0.0000  8 Pb 2.99
W  0.5000  0.0000  0.5000  8 Pb 2.99

***

Here is an optimized crystal structure of TaPb2W from Alexandria. Energies are from GGA-PBE.

Calculated values
**Polymorph energy (0 for the lowest one)**: 51 meV per atom

abc: 3.0813 3.0813 10.7770
angles: 90.00 90.00 111.21
Closest atoms and distances in Å follow each position.
Sites, in units of the cell vectors:
Pb  0.0000  0.0000  0.9503  2 W 3.04, 4 Pb 3.08
Pb  0.5000  0.5000  0.2942  4 Pb 3.08, 2 Ta 3.13
Ta  0.0000  0.0000  0.5361  2 W 2.63
W  0.5000  0.5000  0.7195  2 Ta 2.63

***

Here is an optimized crystal structure of TaPbW2 from Alexandria. Energies are from GGA-PBE.

abc: 9.3288 9.3288 9.3288
angles: 19.33 19.33 19.33
Closest atoms and distances in Å follow each position.
Sites, in units of the cell vectors:
Pb  0.5018  0.5018  0.5018  3 W 3.10, 6 Pb 3.13, 3 Ta 3.15
Ta  0.7411  0.7411  0.7411  3 W 2.79
W  0.9969  0.9969  0.9969  3 W 2.64, 3 Ta 2.79
W  0.2602  0.2602  0.2602  3 W 2.64

***

Here is an optimized crystal structure of TaPbW2 from Alexandria. Energies are from GGA-PBE.

abc: 5.3076 5.5804 2.9208
angles: 77.60 84.32 116.72
Closest atoms and distances in Å follow each position.
Sites, in units of the cell vectors:
Pb  0.0000  0.5000  0.5000  4 W 2.86, 4 Ta 2.90-3.15, 2 Pb 2.92
Ta  0.5000  0.5000  0.0000  4 W 2.86, 4 Pb 2.90-3.15, 2 Ta 2.92
W  0.0000  0.0000  0.0000  2 Pb 2.86, 2 Ta 2.86, 6 W 2.90-3.15
W  0.5000  0.0000  0.5000  2 Ta 2.86, 2 Pb 2.86, 6 W 2.90-3.15

***

Here is an optimized crystal structure of TaPb2W from Alexandria. Energies are from GGA-PBE.

Calculated values
**Polymorph energy (0 for the lowest one)**: 396 meV per atom

abc: 6.7061 6.7061 6.7061
angles: 152.33 137.12 51.80
Closest atoms and distances in Å follow each position.
Sites, in units of the cell vectors:
Pb  0.0301  0.0301  0.0000  4 Ta 3.11, 2 Pb 3.21, 2 W 3.39
Pb  0.7481  0.2481  0.5000  4 W 2.95, 2 Pb 3.21
Ta  0.4440  0.4440  0.0000  2 W 2.57
W  0.2778  0.7778  0.5000  2 Ta 2.57

***

Number 1: final energy -9.75 eV per atom, total magnetic moment 0.00 μB/f.u., E_form 0.61 eV per atom. Number 2: final energy -7.03 eV per atom, total magnetic moment 0.00 μB/f.u., E_form 1.03 eV per atom. Number 3: final energy -7.62 eV per atom, total magnetic moment 0.00 μB/f.u., E_form 0.44 eV per atom. Number 4: final energy -9.72 eV per atom, total magnetic moment 0.00 μB/f.u., E_form 0.64 eV per atom. Number 5: final energy -9.64 eV per atom, total magnetic moment 0.00 μB/f.u., E_form 0.72 eV per atom. Number 6: final energy -7.27 eV per atom, total magnetic moment 0.00 μB/f.u., E_form 0.78 eV per atom.